No. 1
TaInOs2 | GGA-PBE | relaxed

V: 16.63 Å³ per atom
Formation energy from the elements: 0.165 eV per atom

```
data_TaInOs2
_chemical_formula_sum 'Ta1 In1 Os2'
_space_group_name_H-M_alt 'P 1'
_space_group_IT_number 1
_space_group_name_Hall 'P 1'
_cell_length_a 5.240
_cell_length_b 5.240
_cell_length_c 4.695
_cell_angle_alpha 110.97
_cell_angle_beta 110.97
_cell_angle_gamma 33.80
loop_
_atom_site_label
_atom_site_fract_x
_atom_site_fract_y
_atom_site_fract_z
Ta1 0.000 0.000 0.000
In1 0.766 0.766 0.382
Os1 0.252 0.252 0.882
Os2 0.517 0.517 0.508
```

---

No. 2
TaInOs2 | GGA-PBE | relaxed

V: 16.85 Å³ per atom
Formation energy from the elements: 0.331 eV per atom

```
data_TaInOs2
_chemical_formula_sum 'Ta1 In1 Os2'
_space_group_name_H-M_alt 'P 1'
_space_group_IT_number 1
_space_group_name_Hall 'P 1'
_cell_length_a 9.515
_cell_length_b 9.515
_cell_length_c 9.515
_cell_angle_alpha 17.42
_cell_angle_beta 17.42
_cell_angle_gamma 17.42
loop_
_atom_site_label
_atom_site_fract_x
_atom_site_fract_y
_atom_site_fract_z
Ta1 0.000 0.000 0.000
In1 0.759 0.759 0.759
Os1 0.250 0.250 0.250
Os2 0.511 0.511 0.511
```

---

No. 3
TaIn4Os | GGA-PBE | relaxed

V: 20.77 Å³ per atom
Formation energy from the elements: 1.115 eV per atom

```
data_TaIn4Os
_chemical_formula_sum 'Ta1 In4 Os1'
_space_group_name_H-M_alt 'P 1'
_space_group_IT_number 1
_space_group_name_Hall 'P 1'
_cell_length_a 5.606
_cell_length_b 5.606
_cell_length_c 5.606
_cell_angle_alpha 60.00
_cell_angle_beta 60.00
_cell_angle_gamma 60.00
loop_
_atom_site_label
_atom_site_fract_x
_atom_site_fract_y
_atom_site_fract_z
Ta1 0.000 0.000 0.000
In1 0.125 0.625 0.625
In2 0.625 0.125 0.625
In3 0.625 0.625 0.125
In4 0.625 0.625 0.625
Os1 0.250 0.250 0.250
```

---

No. 4
Ta2InOs | GGA-PBE | relaxed

V: 18.55 Å³ per atom
Formation energy from the elements: 0.233 eV per atom

```
data_Ta2InOs
_chemical_formula_sum 'Ta2 In1 Os1'
_space_group_name_H-M_alt 'P 1'
_space_group_IT_number 1
_space_group_name_Hall 'P 1'
_cell_length_a 9.228
_cell_length_b 9.228
_cell_length_c 9.228
_cell_angle_alpha 19.19
_cell_angle_beta 19.19
_cell_angle_gamma 19.19
loop_
_atom_site_label
_atom_site_fract_x
_atom_site_fract_y
_atom_site_fract_z
Ta1 0.000 0.000 0.000
Ta2 0.249 0.249 0.249
In1 0.490 0.490 0.490
Os1 0.738 0.738 0.738
```

---

No. 5
Ta2InOs | GGA-PBE | relaxed

V: 17.87 Å³ per atom
Formation energy from the elements: 0.115 eV per atom

```
data_Ta2InOs
_chemical_formula_sum 'Ta2 In1 Os1'
_space_group_name_H-M_alt 'P 1'
_space_group_IT_number 1
_space_group_name_Hall 'P 1'
_cell_length_a 2.948
_cell_length_b 4.618
_cell_length_c 5.300
_cell_angle_alpha 90.00
_cell_angle_beta 97.99
_cell_angle_gamma 90.00
loop_
_atom_site_label
_atom_site_fract_x
_atom_site_fract_y
_atom_site_fract_z
Ta1 0.000 0.000 0.000
Ta2 0.219 0.500 0.707
In1 0.594 0.500 0.223
Os1 0.565 0.000 0.538
```

---

No. 6
TaInOs2 | GGA-PBE | relaxed

V: 16.64 Å³ per atom
Formation energy from the elements: -0.051 eV per atom

```
data_TaInOs2
_chemical_formula_sum 'Ta1 In1 Os2'
_space_group_name_H-M_alt 'P 1'
_space_group_IT_number 1
_space_group_name_Hall 'P 1'
_cell_length_a 3.214
_cell_length_b 3.214
_cell_length_c 6.444
_cell_angle_alpha 90.00
_cell_angle_beta 90.00
_cell_angle_gamma 90.00
loop_
_atom_site_label
_atom_site_fract_x
_atom_site_fract_y
_atom_site_fract_z
Ta1 0.000 0.000 0.000
In1 0.000 0.000 0.500
Os1 0.500 0.500 0.235
Os2 0.500 0.500 0.765
```

---

No. 7
Ta2InOs | GGA-PBE | relaxed

V: 18.27 Å³ per atom
Formation energy from the elements: 0.080 eV per atom

```
data_Ta2InOs
_chemical_formula_sum 'Ta2 In1 Os1'
_space_group_name_H-M_alt 'P 1'
_space_group_IT_number 1
_space_group_name_Hall 'P 1'
_cell_length_a 3.142
_cell_length_b 3.142
_cell_length_c 7.404
_cell_angle_alpha 90.00
_cell_angle_beta 90.00
_cell_angle_gamma 90.00
loop_
_atom_site_label
_atom_site_fract_x
_atom_site_fract_y
_atom_site_fract_z
Ta1 0.000 0.000 0.000
Ta2 0.500 0.500 0.261
In1 0.000 0.000 0.544
Os1 0.500 0.500 0.804
```

---

No. 8
TaInOs3 | GGA-PBE | relaxed

V: 21.73 Å³ per atom
Formation energy from the elements: 1.991 eV per atom
E above lowest polymorph: 0.00 eV/f.u.

```
data_TaInOs3
_chemical_formula_sum 'Ta1 In1 Os3'
_space_group_name_H-M_alt 'P 1'
_space_group_IT_number 1
_space_group_name_Hall 'P 1'
_cell_length_a 4.772
_cell_length_b 4.772
_cell_length_c 4.772
_cell_angle_alpha 90.00
_cell_angle_beta 90.00
_cell_angle_gamma 90.00
loop_
_atom_site_label
_atom_site_fract_x
_atom_site_fract_y
_atom_site_fract_z
Ta1 0.000 0.000 0.000
In1 0.500 0.500 0.500
Os1 0.000 0.000 0.500
Os2 0.000 0.500 0.000
Os3 0.500 0.000 0.000
```

---

No. 9
TaInOs2 | GGA-PBE | relaxed

V: 17.01 Å³ per atom
Formation energy from the elements: 0.534 eV per atom

```
data_TaInOs2
_chemical_formula_sum 'Ta1 In1 Os2'
_space_group_name_H-M_alt 'P 1'
_space_group_IT_number 1
_space_group_name_Hall 'P 1'
_cell_length_a 2.843
_cell_length_b 2.843
_cell_length_c 9.430
_cell_angle_alpha 90.00
_cell_angle_beta 90.00
_cell_angle_gamma 116.82
loop_
_atom_site_label
_atom_site_fract_x
_atom_site_fract_y
_atom_site_fract_z
Ta1 0.000 0.000 0.000
In1 0.500 0.500 0.275
Os1 0.000 0.000 0.528
Os2 0.500 0.500 0.763
```

---

No. 10
Ta2InOs2 | GGA-PBE | relaxed

V: 18.30 Å³ per atom
Formation energy from the elements: 0.112 eV per atom
E above lowest polymorph: 0.84 eV/f.u.

```
data_Ta2InOs2
_chemical_formula_sum 'Ta4 In2 Os4'
_space_group_name_H-M_alt 'P 1'
_space_group_IT_number 1
_space_group_name_Hall 'P 1'
_cell_length_a 7.837
_cell_length_b 7.837
_cell_length_c 2.980
_cell_angle_alpha 90.00
_cell_angle_beta 90.00
_cell_angle_gamma 90.00
loop_
_atom_site_label
_atom_site_fract_x
_atom_site_fract_y
_atom_site_fract_z
Ta1 0.146 0.354 0.000
Ta2 0.354 0.854 0.000
Ta3 0.646 0.146 0.000
Ta4 0.854 0.646 0.000
In1 0.000 0.000 0.000
In2 0.500 0.500 0.000
Os1 0.141 0.641 0.500
Os2 0.359 0.141 0.500
Os3 0.641 0.859 0.500
Os4 0.859 0.359 0.500
```

---

No. 11
TaInOs2 | GGA-PBE | relaxed

V: 16.95 Å³ per atom
Formation energy from the elements: 0.217 eV per atom

```
data_TaInOs2
_chemical_formula_sum 'Ta1 In1 Os2'
_space_group_name_H-M_alt 'P 1'
_space_group_IT_number 1
_space_group_name_Hall 'P 1'
_cell_length_a 4.762
_cell_length_b 4.762
_cell_length_c 5.119
_cell_angle_alpha 101.81
_cell_angle_beta 101.81
_cell_angle_gamma 36.72
loop_
_atom_site_label
_atom_site_fract_x
_atom_site_fract_y
_atom_site_fract_z
Ta1 0.000 0.000 0.000
In1 0.500 0.500 0.500
Os1 0.262 0.262 0.775
Os2 0.738 0.738 0.225
```

---

No. 12
Ta2InOs | GGA-PBE | relaxed

V: 17.86 Å³ per atom
Formation energy from the elements: 0.098 eV per atom

```
data_Ta2InOs
_chemical_formula_sum 'Ta2 In1 Os1'
_space_group_name_H-M_alt 'P 1'
_space_group_IT_number 1
_space_group_name_Hall 'P 1'
_cell_length_a 5.347
_cell_length_b 5.347
_cell_length_c 4.792
_cell_angle_alpha 110.01
_cell_angle_beta 110.01
_cell_angle_gamma 33.95
loop_
_atom_site_label
_atom_site_fract_x
_atom_site_fract_y
_atom_site_fract_z
Ta1 0.000 0.000 0.000
Ta2 0.247 0.247 0.770
In1 0.774 0.774 0.292
Os1 0.525 0.525 0.519
```

---

Copy entry 9 word for word.
TaInOs2 | GGA-PBE | relaxed

V: 17.01 Å³ per atom
Formation energy from the elements: 0.534 eV per atom

```
data_TaInOs2
_chemical_formula_sum 'Ta1 In1 Os2'
_space_group_name_H-M_alt 'P 1'
_space_group_IT_number 1
_space_group_name_Hall 'P 1'
_cell_length_a 2.843
_cell_length_b 2.843
_cell_length_c 9.430
_cell_angle_alpha 90.00
_cell_angle_beta 90.00
_cell_angle_gamma 116.82
loop_
_atom_site_label
_atom_site_fract_x
_atom_site_fract_y
_atom_site_fract_z
Ta1 0.000 0.000 0.000
In1 0.500 0.500 0.275
Os1 0.000 0.000 0.528
Os2 0.500 0.500 0.763
```

---

Q: What is the formula in the tenth record?
A: Ta2InOs2

---

Repeat the twelfth record exactly.
Ta2InOs | GGA-PBE | relaxed

V: 17.86 Å³ per atom
Formation energy from the elements: 0.098 eV per atom

```
data_Ta2InOs
_chemical_formula_sum 'Ta2 In1 Os1'
_space_group_name_H-M_alt 'P 1'
_space_group_IT_number 1
_space_group_name_Hall 'P 1'
_cell_length_a 5.347
_cell_length_b 5.347
_cell_length_c 4.792
_cell_angle_alpha 110.01
_cell_angle_beta 110.01
_cell_angle_gamma 33.95
loop_
_atom_site_label
_atom_site_fract_x
_atom_site_fract_y
_atom_site_fract_z
Ta1 0.000 0.000 0.000
Ta2 0.247 0.247 0.770
In1 0.774 0.774 0.292
Os1 0.525 0.525 0.519
```